1.
# GGA-PBE Tb7DyEr3, optimized geometry
# Mass density ... 8.4 g/cm³
# DFT formation energy ... 0.139 eV per atom
# Uncorrected energy ... -49.18 eV per cell
# Energy relative to the lowest polymorph listed for this composition ... 0.0 meV per atom
data_Tb7DyEr3
_cell_length_a 8.868
_cell_length_b 9.838
_cell_length_c 5.512
_cell_angle_alpha 89.99
_cell_angle_beta 128.43
_cell_angle_gamma 105.82
_space_group_name_H-M_alt 'P 1'
_space_group_IT_number 1
loop_
_space_group_symop_operation_xyz
'x,y,z'
loop_
_atom_site_label
_atom_site_type_symbol
_atom_site_fract_x
_atom_site_fract_y
_atom_site_fract_z
Er1 Er 0.221 0.001 0.721
Er2 Er 0.000 0.500 0.000
Er3 Er 0.779 0.999 0.279
Tb1 Tb 0.178 0.358 0.678
Tb2 Tb 0.918 0.831 0.918
Tb3 Tb 0.500 0.000 0.500
Tb4 Tb 0.353 0.709 0.853
Tb5 Tb 0.082 0.169 0.082
Tb6 Tb 0.647 0.291 0.147
Tb7 Tb 0.822 0.642 0.322
Dy1 Dy 0.500 0.500 0.500

=====

2.
# GGA-PBE Tb5Dy6Er, optimized geometry
# Mass density ... 8.6 g/cm³
# DFT formation energy ... 0.017 eV per atom
# Uncorrected energy ... -55.12 eV per cell
# Energy relative to the lowest polymorph listed for this composition ... 2.0 meV per atom
data_Tb5Dy6Er
_cell_length_a 4.998
_cell_length_b 10.012
_cell_length_c 9.368
_cell_angle_alpha 122.30
_cell_angle_beta 105.47
_cell_angle_gamma 90.00
_space_group_name_H-M_alt 'P 1'
_space_group_IT_number 1
loop_
_space_group_symop_operation_xyz
'x,y,z'
loop_
_atom_site_label
_atom_site_type_symbol
_atom_site_fract_x
_atom_site_fract_y
_atom_site_fract_z
Tb1 Tb 0.000 0.500 0.000
Tb2 Tb 0.667 0.667 0.333
Tb3 Tb 0.333 0.333 0.667
Tb4 Tb 0.334 0.834 0.668
Tb5 Tb 0.666 0.166 0.332
Dy1 Dy 0.833 0.584 0.667
Dy2 Dy 0.500 0.751 0.000
Dy3 Dy 0.833 0.083 0.667
Dy4 Dy 0.500 0.249 0.000
Dy5 Dy 0.167 0.917 0.333
Dy6 Dy 0.167 0.416 0.333
Er1 Er 0.000 0.000 0.000

=====

3.
# GGA-PBE TbDy7Er12, optimized geometry
# Mass density ... 7.9 g/cm³
# DFT formation energy ... 0.730 eV per atom
# Uncorrected energy ... -77.00 eV per cell
# Energy relative to the lowest polymorph listed for this composition ... 424.5 meV per atom
data_TbDy7Er12
_cell_length_a 9.645
_cell_length_b 9.645
_cell_length_c 9.645
_cell_angle_alpha 109.47
_cell_angle_beta 109.47
_cell_angle_gamma 109.47
_space_group_name_H-M_alt 'P 1'
_space_group_IT_number 1
loop_
_space_group_symop_operation_xyz
'x,y,z'
loop_
_atom_site_label
_atom_site_type_symbol
_atom_site_fract_x
_atom_site_fract_y
_atom_site_fract_z
Er1 Er 0.000 0.749 0.250
Er2 Er 0.501 0.251 0.250
Er3 Er 0.251 0.750 0.000
Er4 Er 0.749 0.750 0.499
Er5 Er 0.749 0.250 0.000
Er6 Er 0.499 0.749 0.750
Er7 Er 0.750 0.499 0.749
Er8 Er 0.250 0.000 0.749
Er9 Er 0.251 0.250 0.501
Er10 Er 0.000 0.251 0.750
Er11 Er 0.250 0.501 0.251
Er12 Er 0.750 0.000 0.251
Dy1 Dy 0.000 0.500 0.000
Dy2 Dy 0.500 0.000 0.000
Dy3 Dy 0.500 0.500 0.000
Dy4 Dy 0.000 0.000 0.500
Dy5 Dy 0.500 0.500 0.500
Dy6 Dy 0.000 0.500 0.500
Dy7 Dy 0.500 0.000 0.500
Tb1 Tb 0.000 0.000 0.000

=====

4.
# GGA-PBE Tb7DyEr5, optimized geometry
# Mass density ... 8.3 g/cm³
# DFT formation energy ... 0.252 eV per atom
# Uncorrected energy ... -56.55 eV per cell
# Energy relative to the lowest polymorph listed for this composition ... 0.0 meV per atom
data_Tb7DyEr5
_cell_length_a 6.645
_cell_length_b 8.637
_cell_length_c 8.637
_cell_angle_alpha 79.76
_cell_angle_beta 67.38
_cell_angle_gamma 67.38
_space_group_name_H-M_alt 'P 1'
_space_group_IT_number 1
loop_
_space_group_symop_operation_xyz
'x,y,z'
loop_
_atom_site_label
_atom_site_type_symbol
_atom_site_fract_x
_atom_site_fract_y
_atom_site_fract_z
Tb1 Tb 0.482 0.190 0.846
Tb2 Tb 0.424 0.576 0.576
Tb3 Tb 0.231 0.269 0.269
Tb4 Tb 0.731 0.269 0.269
Tb5 Tb 0.482 0.846 0.190
Tb6 Tb 0.980 0.348 0.693
Tb7 Tb 0.980 0.693 0.348
Er1 Er 0.463 0.541 0.998
Er2 Er 0.731 0.769 0.769
Er3 Er 0.998 0.998 0.541
Er4 Er 0.463 0.998 0.541
Er5 Er 0.998 0.541 0.998
Dy1 Dy 0.039 0.961 0.961

=====

5.
# GGA-PBE Tb3DyEr6, optimized geometry
# Mass density ... 8.7 g/cm³
# DFT formation energy ... 0.122 eV per atom
# Uncorrected energy ... -89.30 eV per cell
# Energy relative to the lowest polymorph listed for this composition ... 0.0 meV per atom
data_Tb3DyEr6
_cell_length_a 6.314
_cell_length_b 11.438
_cell_length_c 11.438
_cell_angle_alpha 130.96
_cell_angle_beta 90.00
_cell_angle_gamma 90.00
_space_group_name_H-M_alt 'P 1'
_space_group_IT_number 1
loop_
_space_group_symop_operation_xyz
'x,y,z'
loop_
_atom_site_label
_atom_site_type_symbol
_atom_site_fract_x
_atom_site_fract_y
_atom_site_fract_z
Er1 Er 0.818 0.014 0.986
Er2 Er 0.068 0.379 0.257
Er3 Er 0.329 0.457 0.895
Er4 Er 0.568 0.621 0.743
Er5 Er 0.829 0.895 0.457
Er6 Er 0.829 0.543 0.105
Er7 Er 0.068 0.743 0.621
Er8 Er 0.568 0.257 0.379
Er9 Er 0.329 0.105 0.543
Er10 Er 0.290 0.698 0.302
Er11 Er 0.318 0.986 0.014
Er12 Er 0.790 0.302 0.698
Tb1 Tb 0.488 0.297 0.041
Tb2 Tb 0.594 0.579 0.421
Tb3 Tb 0.988 0.041 0.297
Tb4 Tb 0.988 0.703 0.959
Tb5 Tb 0.488 0.959 0.703
Tb6 Tb 0.094 0.421 0.579
Dy1 Dy 0.514 0.839 0.161
Dy2 Dy 0.014 0.161 0.839

=====

6.
# GGA-PBE Tb2Dy3Er6, optimized geometry
# Mass density ... 8.4 g/cm³
# DFT formation energy ... 0.285 eV per atom
# Uncorrected energy ... -47.31 eV per cell
data_Tb2Dy3Er6
_cell_length_a 4.676
_cell_length_b 4.676
_cell_length_c 16.781
_cell_angle_alpha 98.01
_cell_angle_beta 98.01
_cell_angle_gamma 90.00
_space_group_name_H-M_alt 'P 1'
_space_group_IT_number 1
loop_
_space_group_symop_operation_xyz
'x,y,z'
loop_
_atom_site_label
_atom_site_type_symbol
_atom_site_fract_x
_atom_site_fract_y
_atom_site_fract_z
Tb1 Tb 0.454 0.454 0.908
Tb2 Tb 0.546 0.546 0.092
Er1 Er 0.878 0.378 0.757
Er2 Er 0.696 0.696 0.391
Er3 Er 0.378 0.878 0.757
Er4 Er 0.304 0.304 0.609
Er5 Er 0.622 0.122 0.243
Er6 Er 0.122 0.622 0.243
Dy1 Dy 0.799 0.799 0.598
Dy2 Dy 0.000 0.000 0.000
Dy3 Dy 0.201 0.201 0.402

=====

7.
# GGA-PBE Tb9Dy11Er4, optimized geometry
# Mass density ... 8.5 g/cm³
# DFT formation energy ... 0.050 eV per atom
# Uncorrected energy ... -109.35 eV per cell
data_Tb9Dy11Er4
_cell_length_a 3.641
_cell_length_b 15.050
_cell_length_c 15.050
_cell_angle_alpha 112.98
_cell_angle_beta 90.00
_cell_angle_gamma 90.00
_space_group_name_H-M_alt 'P 1'
_space_group_IT_number 1
loop_
_space_group_symop_operation_xyz
'x,y,z'
loop_
_atom_site_label
_atom_site_type_symbol
_atom_site_fract_x
_atom_site_fract_y
_atom_site_fract_z
Er1 Er 0.500 0.756 0.554
Er2 Er 0.500 0.446 0.244
Er3 Er 0.500 0.244 0.446
Er4 Er 0.500 0.554 0.756
Tb1 Tb 0.500 0.369 0.836
Tb2 Tb 0.500 0.786 0.931
Tb3 Tb 0.500 0.164 0.631
Tb4 Tb 0.500 0.500 0.500
Tb5 Tb 0.500 0.931 0.786
Tb6 Tb 0.500 0.069 0.214
Tb7 Tb 0.500 0.214 0.069
Tb8 Tb 0.500 0.836 0.369
Tb9 Tb 0.500 0.631 0.164
Dy1 Dy 0.000 0.160 0.840
Dy2 Dy 0.000 0.840 0.160
Dy3 Dy 0.000 0.045 0.407
Dy4 Dy 0.000 0.368 0.632
Dy5 Dy 0.000 0.292 0.292
Dy6 Dy 0.000 0.593 0.955
Dy7 Dy 0.000 0.955 0.593
Dy8 Dy 0.000 0.000 0.000
Dy9 Dy 0.000 0.632 0.368
Dy10 Dy 0.000 0.407 0.045
Dy11 Dy 0.000 0.708 0.708

=====

8.
# GGA-PBE Tb4Dy3Er4, optimized geometry
# Mass density ... 8.7 g/cm³
# DFT formation energy ... 0.058 eV per atom
# Uncorrected energy ... -49.94 eV per cell
# Energy relative to the lowest polymorph listed for this composition ... 0.0 meV per atom
data_Tb4Dy3Er4
_cell_length_a 3.479
_cell_length_b 5.559
_cell_length_c 17.973
_cell_angle_alpha 81.11
_cell_angle_beta 84.43
_cell_angle_gamma 90.00
_space_group_name_H-M_alt 'P 1'
_space_group_IT_number 1
loop_
_space_group_symop_operation_xyz
'x,y,z'
loop_
_atom_site_label
_atom_site_type_symbol
_atom_site_fract_x
_atom_site_fract_y
_atom_site_fract_z
Er1 Er 0.591 0.091 0.819
Er2 Er 0.267 0.266 0.467
Er3 Er 0.409 0.909 0.181
Er4 Er 0.733 0.733 0.533
Dy1 Dy 0.000 0.000 0.000
Dy2 Dy 0.137 0.637 0.726
Dy3 Dy 0.863 0.363 0.274
Tb1 Tb 0.547 0.547 0.908
Tb2 Tb 0.681 0.181 0.639
Tb3 Tb 0.319 0.819 0.361
Tb4 Tb 0.454 0.453 0.092

=====

9.
# GGA-PBE Tb4Dy4Er3, optimized geometry
# Mass density ... 8.4 g/cm³
# DFT formation energy ... 0.128 eV per atom
# Uncorrected energy ... -49.21 eV per cell
# Energy relative to the lowest polymorph listed for this composition ... 70.4 meV per atom
data_Tb4Dy4Er3
_cell_length_a 3.561
_cell_length_b 9.270
_cell_length_c 11.798
_cell_angle_alpha 113.13
_cell_angle_beta 98.68
_cell_angle_gamma 90.00
_space_group_name_H-M_alt 'P 1'
_space_group_IT_number 1
loop_
_space_group_symop_operation_xyz
'x,y,z'
loop_
_atom_site_label
_atom_site_type_symbol
_atom_site_fract_x
_atom_site_fract_y
_atom_site_fract_z
Er1 Er 0.892 0.892 0.783
Er2 Er 0.000 0.500 0.000
Er3 Er 0.108 0.108 0.217
Dy1 Dy 0.741 0.241 0.482
Dy2 Dy 0.500 0.184 0.000
Dy3 Dy 0.500 0.816 0.000
Dy4 Dy 0.259 0.759 0.518
Tb1 Tb 0.356 0.177 0.713
Tb2 Tb 0.644 0.465 0.287
Tb3 Tb 0.356 0.535 0.713
Tb4 Tb 0.644 0.823 0.287